(1)
Entry from Alexandria: crystalline Ta2NbCrC at its relaxed geometry (PBE).

abc: 4.922 4.306 4.922
angles: 90.00 90.00 90.00
Fractional coordinates of all 5 atoms:
Cr1 0.000 0.500 0.000
Nb1 0.000 0.000 0.000
C1 0.500 0.500 0.500
Ta1 0.000 0.000 0.500
Ta2 0.500 0.000 0.000

Properties
formation energy: 279 kJ/mol of atoms
electronic total energy: -38.2 eV per cell
space-group type: No. 123

(2)
Entry from Alexandria: crystalline TbNb2CrC4 at its relaxed geometry (PBE).

abc: 3.210 5.825 11.017
angles: 90.00 90.00 106.00
Fractional coordinates of all 16 atoms:
Tb1 0.101 0.202 0.750
Tb2 0.899 0.798 0.250
Nb1 0.370 0.741 0.540
Nb2 0.630 0.259 0.040
Nb3 0.630 0.259 0.460
Nb4 0.370 0.741 0.960
Cr1 0.835 0.670 0.750
Cr2 0.165 0.330 0.250
C1 0.265 0.529 0.118
C2 0.735 0.471 0.618
C3 0.735 0.471 0.882
C4 0.265 0.529 0.382
C5 0.000 0.000 0.500
C6 0.000 0.000 0.000
C7 0.430 0.860 0.750
C8 0.570 0.140 0.250

Properties
formation energy: -29 kJ/mol of atoms
electronic total energy: -147.4 eV per cell
space-group type: No. 63

(3)
Entry from Alexandria: crystalline ThNbCrC3 at its relaxed geometry (PBE).

abc: 3.363 7.110 7.514
angles: 104.87 90.00 90.00
Fractional coordinates of all 12 atoms:
Th1 0.750 0.810 0.797
Th2 0.250 0.190 0.203
Nb1 0.250 0.647 0.142
Nb2 0.750 0.353 0.858
Cr1 0.250 0.101 0.605
Cr2 0.750 0.899 0.395
C1 0.250 0.822 0.475
C2 0.750 0.881 0.143
C3 0.750 0.439 0.155
C4 0.750 0.178 0.525
C5 0.250 0.561 0.845
C6 0.250 0.119 0.857

Properties
formation energy: -10 kJ/mol of atoms
electronic total energy: -110.8 eV per cell
space-group type: No. 11

(4)
Entry from Alexandria: crystalline ThNb2CrC4 at its relaxed geometry (PBE).

abc: 3.289 5.900 10.937
angles: 90.00 90.00 106.18
Fractional coordinates of all 16 atoms:
Th1 0.100 0.199 0.750
Th2 0.900 0.801 0.250
Nb1 0.371 0.742 0.542
Nb2 0.629 0.258 0.042
Nb3 0.629 0.258 0.458
Nb4 0.371 0.742 0.958
Cr1 0.835 0.671 0.750
Cr2 0.165 0.329 0.250
C1 0.264 0.528 0.117
C2 0.736 0.472 0.617
C3 0.736 0.472 0.883
C4 0.264 0.528 0.383
C5 0.000 0.000 0.500
C6 0.000 0.000 0.000
C7 0.426 0.852 0.750
C8 0.574 0.148 0.250

Properties
formation energy: -32 kJ/mol of atoms
electronic total energy: -153.4 eV per cell
space-group type: No. 63

(5)
Entry from Alexandria: crystalline TiNbCr2C at its relaxed geometry (PBE).

abc: 3.878 4.391 3.878
angles: 90.00 90.00 90.00
Fractional coordinates of all 5 atoms:
Cr1 0.000 0.000 0.500
Cr2 0.500 0.000 0.000
Nb1 0.000 0.500 0.000
C1 0.000 0.000 0.000
Ti1 0.500 0.500 0.500

Properties
formation energy: -2 kJ/mol of atoms
electronic total energy: -46.5 eV per cell
space-group type: No. 123

(6)
Entry from Alexandria: crystalline TmNbCrC3 at its relaxed geometry (PBE).

abc: 3.307 6.824 7.290
angles: 100.00 90.00 90.00
Fractional coordinates of all 12 atoms:
Tm1 0.750 0.828 0.811
Tm2 0.250 0.172 0.189
Nb1 0.250 0.639 0.144
Nb2 0.750 0.361 0.856
Cr1 0.250 0.102 0.603
Cr2 0.750 0.898 0.397
C1 0.250 0.819 0.487
C2 0.750 0.882 0.146
C3 0.750 0.426 0.151
C4 0.750 0.181 0.513
C5 0.250 0.574 0.849
C6 0.250 0.118 0.854

Properties
formation energy: -10 kJ/mol of atoms
electronic total energy: -104.9 eV per cell
space-group type: No. 11

(7)
Entry from Alexandria: crystalline UNb2CrC4 at its relaxed geometry (PBE).

abc: 3.205 5.778 10.856
angles: 90.00 90.00 106.10
Fractional coordinates of all 16 atoms:
U1 0.105 0.210 0.750
U2 0.895 0.790 0.250
Nb1 0.371 0.741 0.543
Nb2 0.629 0.259 0.043
Nb3 0.629 0.259 0.457
Nb4 0.371 0.741 0.957
Cr1 0.842 0.684 0.750
Cr2 0.158 0.316 0.250
C1 0.268 0.536 0.121
C2 0.732 0.464 0.621
C3 0.732 0.464 0.879
C4 0.268 0.536 0.379
C5 0.000 0.000 0.500
C6 0.000 0.000 0.000
C7 0.442 0.884 0.750
C8 0.558 0.116 0.250

Properties
formation energy: -26 kJ/mol of atoms
electronic total energy: -160.3 eV per cell
space-group type: No. 63

(8)
Entry from Alexandria: crystalline U2NbCr2C4 at its relaxed geometry (PBE).

abc: 3.050 6.862 5.586
angles: 103.58 90.00 102.84
Fractional coordinates of all 9 atoms:
U1 0.874 0.747 0.471
U2 0.126 0.253 0.529
Nb1 0.000 0.000 0.000
Cr1 0.319 0.639 0.971
Cr2 0.681 0.361 0.029
C1 0.758 0.516 0.757
C2 0.242 0.484 0.243
C3 0.456 0.911 0.245
C4 0.544 0.089 0.755

Properties
formation energy: -12 kJ/mol of atoms
electronic total energy: -89.9 eV per cell
space-group type: No. 12

(9)
Entry from Alexandria: crystalline NbVCr2C at its relaxed geometry (PBE).

abc: 4.437 4.617 4.437
angles: 90.00 90.00 90.00
Fractional coordinates of all 5 atoms:
Cr1 0.000 0.000 0.500
Cr2 0.500 0.000 0.000
Nb1 0.000 0.000 0.000
C1 0.500 0.500 0.500
V1 0.000 0.500 0.000

Properties
formation energy: 285 kJ/mol of atoms
electronic total energy: -32.9 eV per cell
space-group type: No. 123

(10)
Entry from Alexandria: crystalline YNb2CrC4 at its relaxed geometry (PBE).

abc: 3.206 5.816 11.029
angles: 90.00 90.00 106.00
Fractional coordinates of all 16 atoms:
Y1 0.101 0.203 0.750
Y2 0.899 0.797 0.250
Nb1 0.370 0.741 0.540
Nb2 0.630 0.259 0.040
Nb3 0.630 0.259 0.460
Nb4 0.370 0.741 0.960
Cr1 0.835 0.670 0.750
Cr2 0.165 0.330 0.250
C1 0.265 0.529 0.118
C2 0.735 0.471 0.618
C3 0.735 0.471 0.882
C4 0.265 0.529 0.382
C5 0.000 0.000 0.500
C6 0.000 0.000 0.000
C7 0.431 0.862 0.750
C8 0.569 0.138 0.250

Properties
formation energy: -29 kJ/mol of atoms
electronic total energy: -151.0 eV per cell
space-group type: No. 63

(11)
Entry from Alexandria: crystalline ZrNb2CrC4 at its relaxed geometry (PBE).

abc: 3.145 5.690 10.952
angles: 90.00 90.00 106.04
Fractional coordinates of all 16 atoms:
Zr1 0.117 0.234 0.750
Zr2 0.883 0.766 0.250
Nb1 0.368 0.737 0.538
Nb2 0.632 0.263 0.038
Nb3 0.632 0.263 0.462
Nb4 0.368 0.737 0.962
Cr1 0.852 0.705 0.750
Cr2 0.148 0.295 0.250
C1 0.264 0.527 0.125
C2 0.736 0.473 0.625
C3 0.736 0.473 0.875
C4 0.264 0.527 0.375
C5 0.000 0.000 0.500
C6 0.000 0.000 0.000
C7 0.454 0.908 0.750
C8 0.546 0.092 0.250

Properties
formation energy: -27 kJ/mol of atoms
electronic total energy: -154.9 eV per cell
space-group type: No. 63

(12)
Entry from Alexandria: crystalline Nd3CrC3 at its relaxed geometry (PBE).

abc: 5.380 6.916 6.918
angles: 101.26 90.00 90.00
Fractional coordinates of all 14 atoms:
Nd1 0.750 0.586 0.825
Nd2 0.750 0.111 0.889
Nd3 0.750 0.175 0.414
Nd4 0.250 0.414 0.175
Nd5 0.250 0.889 0.111
Nd6 0.250 0.825 0.586
Cr1 0.250 0.301 0.699
Cr2 0.750 0.699 0.301
C1 0.250 0.564 0.818
C2 0.250 0.127 0.873
C3 0.250 0.182 0.436
C4 0.750 0.436 0.182
C5 0.750 0.873 0.127
C6 0.750 0.818 0.564

Properties
formation energy: -13 kJ/mol of atoms
electronic total energy: -105.1 eV per cell
space-group type: No. 63